[1]
First-principles (GGA-PBE) data for a geometry-optimized Ba2CrCuSi structure, as listed in Alexandria.

Cell lengths 6.1775, 6.1775, 4.5963 Å; angles 90.00, 90.00, 90.00 degrees
Last column: nearest neighbours and their distance in Å.
Sites, in units of the cell vectors:
Ba 0.0000 0.5000 0.0000  2 Cr 3.09
Ba 0.5000 0.0000 0.0000  2 Cr 3.09
Cr 0.0000 0.0000 0.0000  2 Cu 2.30
Cu 0.0000 0.0000 0.5000  2 Cr 2.30
Si 0.5000 0.5000 0.5000  8 Ba 3.85

Properties
energy relative to the elements, uncorrected: 0.729 eV per atom
SG: P4/mmm


[2]
First-principles (GGA-PBE) data for a geometry-optimized BaCr2CuSi structure, as listed in Alexandria.

Cell lengths 5.7569, 5.7569, 5.2342 Å; angles 90.00, 90.00, 90.00 degrees
Last column: nearest neighbours and their distance in Å.
Sites, in units of the cell vectors:
Ba 0.0000 0.0000 0.0000  2 Cu 2.62, 4 Cr 2.88
Cr 0.0000 0.5000 0.0000  2 Ba 2.88
Cr 0.5000 0.0000 0.0000  2 Ba 2.88
Cu 0.0000 0.0000 0.5000  2 Ba 2.62
Si 0.5000 0.5000 0.5000  8 Cr 3.89, 4 Cu 4.07

Properties
energy relative to the elements, uncorrected: 2.260 eV per atom
SG: P4/mmm


Look up the energy relative to the elements, uncorrected of the second one. 2.260 eV per atom


Look up the energy relative to the elements, uncorrected of the first one. 0.729 eV per atom


Number 1 is which compound? Ba2CrCuSi


Which formula does entry 1 have? Ba2CrCuSi